(1)
# SiHg3S | the Alexandria database | PBE | optimized geometry
# - D(E_F) (states/eV per atom) = 1.535
# - energy relative to the lowest polymorph listed for this composition (meV per atom) = 0
# - calculated density (g cm⁻³) = 8.333
data_SiHg3S
_chemical_formula_sum 'Si1 Hg3 S1'
_space_group_name_H-M_alt 'P 1'
_space_group_IT_number 1
_cell_length_a 5.090
_cell_length_b 5.090
_cell_length_c 5.090
_cell_angle_alpha 90.00
_cell_angle_beta 90.00
_cell_angle_gamma 90.00
loop_
_space_group_symop_operation_xyz
'x,y,z'
loop_
_atom_site_label
_atom_site_fract_x
_atom_site_fract_y
_atom_site_fract_z
_atom_site_occupancy
Si1 0.000 0.000 0.000 1
Hg1 0.000 0.000 0.500 1
Hg2 0.000 0.500 0.000 1
Hg3 0.500 0.000 0.000 1
S1 0.500 0.500 0.500 1

(2)
# Ag3IF | the Alexandria database | PBE | optimized geometry
# - D(E_F) (states/eV per atom) = 0.487
# - energy relative to the lowest polymorph listed for this composition (meV per atom) = 477
# - calculated density (g cm⁻³) = 4.671
data_Ag3IF
_chemical_formula_sum 'Ag3 I1 F1'
_space_group_name_H-M_alt 'P 1'
_space_group_IT_number 1
_cell_length_a 5.506
_cell_length_b 5.506
_cell_length_c 5.506
_cell_angle_alpha 90.00
_cell_angle_beta 90.00
_cell_angle_gamma 90.00
loop_
_space_group_symop_operation_xyz
'x,y,z'
loop_
_atom_site_label
_atom_site_fract_x
_atom_site_fract_y
_atom_site_fract_z
_atom_site_occupancy
Ag1 0.000 0.000 0.500 1
Ag2 0.000 0.500 0.000 1
Ag3 0.500 0.000 0.000 1
I1 0.000 0.000 0.000 1
F1 0.500 0.500 0.500 1

(3)
# CsHfI5 | the Alexandria database | PBE | optimized geometry
# - D(E_F) (states/eV per atom) = 0.000
# - electronic total energy (eV per atom) = -3.71
# - calculated density (g cm⁻³) = 4.113
data_CsHfI5
_chemical_formula_sum 'Cs2 Hf2 I10'
_space_group_name_H-M_alt 'P 1'
_space_group_IT_number 1
_cell_length_a 9.280
_cell_length_b 9.280
_cell_length_c 11.480
_cell_angle_alpha 108.75
_cell_angle_beta 108.75
_cell_angle_gamma 56.06
loop_
_space_group_symop_operation_xyz
'x,y,z'
loop_
_atom_site_label
_atom_site_fract_x
_atom_site_fract_y
_atom_site_fract_z
_atom_site_occupancy
Cs1 0.017 0.983 0.750 1
Cs2 0.983 0.017 0.250 1
Hf1 0.500 0.500 0.000 1
Hf2 0.500 0.500 0.500 1
I1 0.144 0.597 0.464 1
I2 0.146 0.590 0.900 1
I3 0.403 0.856 0.036 1
I4 0.410 0.854 0.600 1
I5 0.423 0.577 0.250 1
I6 0.577 0.423 0.750 1
I7 0.590 0.146 0.400 1
I8 0.597 0.144 0.964 1
I9 0.854 0.410 0.100 1
I10 0.856 0.403 0.536 1

(4)
# MgTeOs2 | the Alexandria database | PBE | optimized geometry
# - D(E_F) (states/eV per atom) = 1.292
# - energy relative to the lowest polymorph listed for this composition (meV per atom) = 521
# - calculated density (g cm⁻³) = 12.875
data_MgTeOs2
_chemical_formula_sum 'Mg4 Te4 Os8'
_space_group_name_H-M_alt 'P 1'
_space_group_IT_number 1
_cell_length_a 6.500
_cell_length_b 6.500
_cell_length_c 6.500
_cell_angle_alpha 90.00
_cell_angle_beta 90.00
_cell_angle_gamma 90.00
loop_
_space_group_symop_operation_xyz
'x,y,z'
loop_
_atom_site_label
_atom_site_fract_x
_atom_site_fract_y
_atom_site_fract_z
_atom_site_occupancy
Mg1 0.000 0.000 0.000 1
Mg2 0.000 0.500 0.500 1
Mg3 0.500 0.000 0.500 1
Mg4 0.500 0.500 0.000 1
Te1 0.250 0.250 0.250 1
Te2 0.250 0.750 0.750 1
Te3 0.750 0.250 0.750 1
Te4 0.750 0.750 0.250 1
Os1 0.000 0.000 0.500 1
Os2 0.000 0.500 0.000 1
Os3 0.250 0.250 0.750 1
Os4 0.250 0.750 0.250 1
Os5 0.500 0.000 0.000 1
Os6 0.500 0.500 0.500 1
Os7 0.750 0.250 0.250 1
Os8 0.750 0.750 0.750 1

(5)
# BiS3F | the Alexandria database | PBE | optimized geometry
# - D(E_F) (states/eV per atom) = 2.450
# - energy relative to the lowest polymorph listed for this composition (meV per atom) = 218
# - calculated density (g cm⁻³) = 3.660
data_BiS3F
_chemical_formula_sum 'Bi1 S3 F1'
_space_group_name_H-M_alt 'P 1'
_space_group_IT_number 1
_cell_length_a 5.279
_cell_length_b 5.279
_cell_length_c 5.279
_cell_angle_alpha 90.00
_cell_angle_beta 90.00
_cell_angle_gamma 90.00
loop_
_space_group_symop_operation_xyz
'x,y,z'
loop_
_atom_site_label
_atom_site_fract_x
_atom_site_fract_y
_atom_site_fract_z
_atom_site_occupancy
Bi1 0.000 0.000 0.000 1
S1 0.000 0.000 0.500 1
S2 0.000 0.500 0.000 1
S3 0.500 0.000 0.000 1
F1 0.500 0.500 0.500 1

(6)
# TlZn6As4 | the Alexandria database | PBE | optimized geometry
# - D(E_F) (states/eV per atom) = 0.235
# - calculated formation energy (eV per formula unit) = -0.7
# - calculated density (g cm⁻³) = 6.309
data_TlZn6As4
_chemical_formula_sum 'Tl1 Zn6 As4'
_space_group_name_H-M_alt 'P 1'
_space_group_IT_number 1
_cell_length_a 13.504
_cell_length_b 13.504
_cell_length_c 13.504
_cell_angle_alpha 161.97
_cell_angle_beta 161.97
_cell_angle_gamma 25.61
loop_
_space_group_symop_operation_xyz
'x,y,z'
loop_
_atom_site_label
_atom_site_fract_x
_atom_site_fract_y
_atom_site_fract_z
_atom_site_occupancy
Tl1 0.000 0.000 0.000 1
Zn1 0.126 0.626 0.500 1
Zn2 0.250 0.750 0.500 1
Zn3 0.374 0.874 0.500 1
Zn4 0.626 0.126 0.500 1
Zn5 0.750 0.250 0.500 1
Zn6 0.874 0.374 0.500 1
As1 0.192 0.192 0.000 1
As2 0.426 0.426 0.000 1
As3 0.574 0.574 0.000 1
As4 0.808 0.808 0.000 1